1.
Computed, not measured: a geometry-optimized DyIn2Pd structure at the PBE level of DFT.

Geometry as CIF:
```
data_DyIn2Pd
_chemical_formula_sum 'Dy10 In20 Pd10'
_space_group_name_H-M_alt 'P 1'
_space_group_IT_number 1
_cell_length_a 10.8236
_cell_length_b 10.8236
_cell_length_c 10.8236
_cell_angle_alpha 100.45
_cell_angle_beta 100.45
_cell_angle_gamma 129.60
loop_
_space_group_symop_operation_xyz
'x,y,z'
loop_
_atom_site_label
_atom_site_type_symbol
_atom_site_fract_x
_atom_site_fract_y
_atom_site_fract_z
Dy1 Dy 0.6700 0.3901 0.2799
Dy2 Dy 0.1102 0.3901 0.7201
Dy3 Dy 0.3901 0.6700 0.2799
Dy4 Dy 0.3901 0.1102 0.7201
Dy5 Dy 0.6743 0.6743 0.5960
Dy6 Dy 0.0782 0.0782 0.4040
Dy7 Dy 0.0782 0.6743 0.0000
Dy8 Dy 0.6743 0.0782 0.0000
Dy9 Dy 0.4624 0.4624 0.0000
Dy10 Dy 0.9907 0.9907 0.0000
In1 In 0.2690 0.4768 0.4922
In2 In 0.9846 0.7768 0.5078
In3 In 0.7768 0.2690 0.7922
In4 In 0.2690 0.7768 0.7922
In5 In 0.4768 0.9846 0.2078
In6 In 0.9846 0.4768 0.2078
In7 In 0.7768 0.9846 0.5078
In8 In 0.4768 0.2690 0.4922
In9 In 0.2481 0.8652 0.3829
In10 In 0.4823 0.8652 0.6171
In11 In 0.8652 0.2481 0.3829
In12 In 0.8652 0.4823 0.6171
In13 In 0.3552 0.3552 0.2612
In14 In 0.0940 0.0940 0.7388
In15 In 0.0940 0.3552 0.0000
In16 In 0.3552 0.0940 0.0000
In17 In 0.8822 0.7190 0.1632
In18 In 0.5559 0.7190 0.8368
In19 In 0.7190 0.8822 0.1632
In20 In 0.7190 0.5559 0.8368
Pd1 Pd 0.1156 0.6156 0.5000
Pd2 Pd 0.6156 0.1156 0.5000
Pd3 Pd 0.3722 0.3722 0.6788
Pd4 Pd 0.6933 0.6933 0.3212
Pd5 Pd 0.6933 0.3722 0.0000
Pd6 Pd 0.3722 0.6933 0.0000
Pd7 Pd 0.2391 0.0255 0.2135
Pd8 Pd 0.8120 0.0255 0.7865
Pd9 Pd 0.0255 0.2391 0.2135
Pd10 Pd 0.0255 0.8120 0.7865
```

2.
Computed, not measured: a geometry-optimized DyInPd2 structure at the PBE level of DFT.

Geometry as CIF:
```
data_DyInPd2
_chemical_formula_sum 'Dy1 In1 Pd2'
_space_group_name_H-M_alt 'P 1'
_space_group_IT_number 1
_cell_length_a 3.4725
_cell_length_b 3.4725
_cell_length_c 6.5752
_cell_angle_alpha 90.00
_cell_angle_beta 90.00
_cell_angle_gamma 90.00
loop_
_space_group_symop_operation_xyz
'x,y,z'
loop_
_atom_site_label
_atom_site_type_symbol
_atom_site_fract_x
_atom_site_fract_y
_atom_site_fract_z
In1 In 0.5000 0.5000 0.5000
Pd1 Pd 0.0000 0.0000 0.7347
Pd2 Pd 0.0000 0.0000 0.2653
Dy1 Dy 0.5000 0.5000 0.0000
```

3.
Computed, not measured: a geometry-optimized Dy3InPd structure at the PBE level of DFT.

Geometry as CIF:
```
data_Dy3InPd
_chemical_formula_sum 'Dy12 In4 Pd4'
_space_group_name_H-M_alt 'P 1'
_space_group_IT_number 1
_cell_length_a 7.4440
_cell_length_b 8.7552
_cell_length_c 8.7552
_cell_angle_alpha 80.19
_cell_angle_beta 90.01
_cell_angle_gamma 90.01
loop_
_space_group_symop_operation_xyz
'x,y,z'
loop_
_atom_site_label
_atom_site_type_symbol
_atom_site_fract_x
_atom_site_fract_y
_atom_site_fract_z
Dy1 Dy 0.5959 0.8085 0.9710
Dy2 Dy 0.9041 0.0290 0.1915
Dy3 Dy 0.4041 0.1915 0.0290
Dy4 Dy 0.0959 0.9710 0.8085
Dy5 Dy 0.7831 0.4343 0.0655
Dy6 Dy 0.7169 0.9345 0.5657
Dy7 Dy 0.2169 0.5657 0.9345
Dy8 Dy 0.2831 0.0655 0.4343
Dy9 Dy 0.5959 0.5296 0.6915
Dy10 Dy 0.9041 0.3085 0.4704
Dy11 Dy 0.4041 0.4704 0.3085
Dy12 Dy 0.0959 0.6915 0.5296
In1 In 0.2500 0.8178 0.1822
In2 In 0.7500 0.1822 0.8178
In3 In 0.2500 0.3183 0.6817
In4 In 0.7500 0.6817 0.3183
Pd1 Pd 0.8850 0.6906 0.8100
Pd2 Pd 0.6150 0.1900 0.3094
Pd3 Pd 0.1150 0.3094 0.1900
Pd4 Pd 0.3850 0.8100 0.6906
```

4.
Computed, not measured: a geometry-optimized Dy6In3Pd structure at the PBE level of DFT.

Geometry as CIF:
```
data_Dy6In3Pd
_chemical_formula_sum 'Dy12 In6 Pd2'
_space_group_name_H-M_alt 'P 1'
_space_group_IT_number 1
_cell_length_a 5.2726
_cell_length_b 9.2281
_cell_length_c 11.5181
_cell_angle_alpha 108.34
_cell_angle_beta 90.00
_cell_angle_gamma 90.00
loop_
_space_group_symop_operation_xyz
'x,y,z'
loop_
_atom_site_label
_atom_site_type_symbol
_atom_site_fract_x
_atom_site_fract_y
_atom_site_fract_z
Dy1 Dy 0.2500 0.4604 0.0841
Dy2 Dy 0.7500 0.5396 0.9159
Dy3 Dy 0.2500 0.1341 0.1600
Dy4 Dy 0.7500 0.8659 0.8400
Dy5 Dy 0.2500 0.6779 0.6690
Dy6 Dy 0.7500 0.3221 0.3310
Dy7 Dy 0.2500 0.2287 0.4962
Dy8 Dy 0.7500 0.7713 0.5038
Dy9 Dy 0.2500 0.8524 0.3232
Dy10 Dy 0.7500 0.1476 0.6768
Dy11 Dy 0.2500 0.0975 0.8637
Dy12 Dy 0.7500 0.9025 0.1363
In1 In 0.2500 0.5203 0.3782
In2 In 0.7500 0.4797 0.6218
In3 In 0.2500 0.3897 0.7815
In4 In 0.7500 0.6103 0.2185
In5 In 0.2500 0.7758 0.9741
In6 In 0.7500 0.2242 0.0259
Pd1 Pd 0.2500 0.9567 0.6004
Pd2 Pd 0.7500 0.0433 0.3996
```

5.
Computed, not measured: a geometry-optimized Dy12InPd5 structure at the PBE level of DFT.

Geometry as CIF:
```
data_Dy12InPd5
_chemical_formula_sum 'Dy12 In1 Pd5'
_space_group_name_H-M_alt 'P 1'
_space_group_IT_number 1
_cell_length_a 8.5078
_cell_length_b 8.5078
_cell_length_c 8.5078
_cell_angle_alpha 105.66
_cell_angle_beta 112.13
_cell_angle_gamma 110.69
loop_
_space_group_symop_operation_xyz
'x,y,z'
loop_
_atom_site_label
_atom_site_type_symbol
_atom_site_fract_x
_atom_site_fract_y
_atom_site_fract_z
Dy1 Dy 0.5326 0.8192 0.7134
Dy2 Dy 0.4674 0.1808 0.2866
Dy3 Dy 0.8941 0.1808 0.7134
Dy4 Dy 0.1059 0.8192 0.2866
Dy5 Dy 0.7008 0.6741 0.3749
Dy6 Dy 0.2992 0.3259 0.6251
Dy7 Dy 0.2992 0.6741 0.9734
Dy8 Dy 0.7008 0.3259 0.0266
Dy9 Dy 0.8101 0.5838 0.7737
Dy10 Dy 0.1899 0.4162 0.2263
Dy11 Dy 0.1899 0.9636 0.7737
Dy12 Dy 0.8101 0.0364 0.2263
In1 In 0.0000 0.5000 0.5000
Pd1 Pd 0.6507 0.6507 0.0000
Pd2 Pd 0.3493 0.3493 0.0000
Pd3 Pd 0.5000 0.1333 0.6333
Pd4 Pd 0.5000 0.8667 0.3667
Pd5 Pd 0.0000 0.0000 0.0000
```

6.
Computed, not measured: a geometry-optimized DyInPd structure at the PBE level of DFT.

Geometry as CIF:
```
data_DyInPd
_chemical_formula_sum 'Dy1 In1 Pd1'
_space_group_name_H-M_alt 'P 1'
_space_group_IT_number 1
_cell_length_a 3.4371
_cell_length_b 3.4371
_cell_length_c 6.0815
_cell_angle_alpha 106.41
_cell_angle_beta 106.41
_cell_angle_gamma 90.00
loop_
_space_group_symop_operation_xyz
'x,y,z'
loop_
_atom_site_label
_atom_site_type_symbol
_atom_site_fract_x
_atom_site_fract_y
_atom_site_fract_z
Dy1 Dy 0.6032 0.6032 0.2065
Pd1 Pd 0.9430 0.9430 0.8861
In1 In 0.3037 0.3037 0.6074
```

7.
# Dy2InPd PBE optimized geometry
# **Energy above the lowest structure with this stoichiometry**: 80 meV/atom
data_Dy2InPd
_chemical_formula_sum 'Dy2 In1 Pd1'
_space_group_name_H-M_alt 'P 1'
_space_group_IT_number 1
_cell_length_a 5.1581
_cell_length_b 5.1581
_cell_length_c 5.1581
_cell_angle_alpha 60.00
_cell_angle_beta 60.00
_cell_angle_gamma 60.00
loop_
_space_group_symop_operation_xyz
'x,y,z'
loop_
_atom_site_label
_atom_site_type_symbol
_atom_site_fract_x
_atom_site_fract_y
_atom_site_fract_z
In1 In 0.0000 0.0000 0.0000
Pd1 Pd 0.5000 0.5000 0.5000
Dy1 Dy 0.2500 0.2500 0.2500
Dy2 Dy 0.7500 0.7500 0.7500

8.
Computed, not measured: a geometry-optimized DyInPd2 structure at the PBE level of DFT.

Geometry as CIF:
```
data_DyInPd2
_chemical_formula_sum 'Dy1 In1 Pd2'
_space_group_name_H-M_alt 'P 1'
_space_group_IT_number 1
_cell_length_a 3.5200
_cell_length_b 4.7311
_cell_length_c 4.7311
_cell_angle_alpha 90.00
_cell_angle_beta 90.00
_cell_angle_gamma 90.00
loop_
_space_group_symop_operation_xyz
'x,y,z'
loop_
_atom_site_label
_atom_site_type_symbol
_atom_site_fract_x
_atom_site_fract_y
_atom_site_fract_z
In1 In 0.5000 0.0000 0.0000
Pd1 Pd 0.0000 0.0000 0.5000
Pd2 Pd 0.0000 0.5000 0.0000
Dy1 Dy 0.5000 0.5000 0.5000
```

9.
Computed, not measured: a geometry-optimized Dy4InPd7 structure at the PBE level of DFT.

Geometry as CIF:
```
data_Dy4InPd7
_chemical_formula_sum 'Dy4 In1 Pd7'
_space_group_name_H-M_alt 'P 1'
_space_group_IT_number 1
_cell_length_a 5.2123
_cell_length_b 9.4304
_cell_length_c 5.9866
_cell_angle_alpha 80.97
_cell_angle_beta 64.19
_cell_angle_gamma 73.96
loop_
_space_group_symop_operation_xyz
'x,y,z'
loop_
_atom_site_label
_atom_site_type_symbol
_atom_site_fract_x
_atom_site_fract_y
_atom_site_fract_z
Dy1 Dy 0.5920 0.2139 0.6021
Dy2 Dy 0.4080 0.7861 0.3979
Dy3 Dy 0.7900 0.6340 0.7861
Dy4 Dy 0.2100 0.3660 0.2139
In1 In 0.0000 0.0000 0.0000
Pd1 Pd 0.7892 0.9078 0.5139
Pd2 Pd 0.2108 0.0922 0.4861
Pd3 Pd 0.0767 0.6893 0.1573
Pd4 Pd 0.9233 0.3107 0.8427
Pd5 Pd 0.3672 0.5217 0.7440
Pd6 Pd 0.5000 0.0000 0.0000
Pd7 Pd 0.6328 0.4783 0.2560
```

10.
Computed, not measured: a geometry-optimized DyInPd structure at the PBE level of DFT.

Geometry as CIF:
```
data_DyInPd
_chemical_formula_sum 'Dy6 In6 Pd6'
_space_group_name_H-M_alt 'P 1'
_space_group_IT_number 1
_cell_length_a 3.7587
_cell_length_b 7.8522
_cell_length_c 13.5484
_cell_angle_alpha 90.00
_cell_angle_beta 90.00
_cell_angle_gamma 90.00
loop_
_space_group_symop_operation_xyz
'x,y,z'
loop_
_atom_site_label
_atom_site_type_symbol
_atom_site_fract_x
_atom_site_fract_y
_atom_site_fract_z
Dy1 Dy 0.0000 0.2231 0.9519
Dy2 Dy 0.0000 0.7769 0.0481
Dy3 Dy 0.0000 0.2231 0.5481
Dy4 Dy 0.0000 0.7769 0.4519
Dy5 Dy 0.0000 0.1611 0.2500
Dy6 Dy 0.0000 0.8389 0.7500
In1 In 0.5000 0.4335 0.1114
In2 In 0.5000 0.5665 0.8886
In3 In 0.5000 0.4335 0.3886
In4 In 0.5000 0.5665 0.6114
In5 In 0.5000 0.8128 0.2500
In6 In 0.5000 0.1872 0.7500
Pd1 Pd 0.5000 0.0667 0.0968
Pd2 Pd 0.5000 0.9333 0.9032
Pd3 Pd 0.5000 0.0667 0.4032
Pd4 Pd 0.5000 0.9333 0.5968
Pd5 Pd 0.0000 0.5503 0.2500
Pd6 Pd 0.0000 0.4497 0.7500
```

11.
Computed, not measured: a geometry-optimized DyIn2Pd structure at the PBE level of DFT.

Geometry as CIF:
```
data_DyIn2Pd
_chemical_formula_sum 'Dy8 In16 Pd8'
_space_group_name_H-M_alt 'P 1'
_space_group_IT_number 1
_cell_length_a 5.6983
_cell_length_b 7.5045
_cell_length_c 16.8288
_cell_angle_alpha 90.00
_cell_angle_beta 90.00
_cell_angle_gamma 90.00
loop_
_space_group_symop_operation_xyz
'x,y,z'
loop_
_atom_site_label
_atom_site_type_symbol
_atom_site_fract_x
_atom_site_fract_y
_atom_site_fract_z
Dy1 Dy 0.4678 0.2500 0.1441
Dy2 Dy 0.9678 0.7500 0.3559
Dy3 Dy 0.5322 0.7500 0.8559
Dy4 Dy 0.0322 0.2500 0.6441
Dy5 Dy 0.7298 0.2500 0.3925
Dy6 Dy 0.2298 0.7500 0.1075
Dy7 Dy 0.2702 0.7500 0.6075
Dy8 Dy 0.7702 0.2500 0.8925
In1 In 0.9684 0.0490 0.2164
In2 In 0.4684 0.9510 0.2836
In3 In 0.0316 0.5490 0.7836
In4 In 0.5316 0.4510 0.7164
In5 In 0.0316 0.9510 0.7836
In6 In 0.5316 0.0490 0.7164
In7 In 0.9684 0.4510 0.2164
In8 In 0.4684 0.5490 0.2836
In9 In 0.7356 0.5468 0.0317
In10 In 0.2356 0.4532 0.4683
In11 In 0.2644 0.0468 0.9683
In12 In 0.7644 0.9532 0.5317
In13 In 0.2644 0.4532 0.9683
In14 In 0.7644 0.5468 0.5317
In15 In 0.7356 0.9532 0.0317
In16 In 0.2356 0.0468 0.4683
Pd1 Pd 0.2201 0.2500 0.3300
Pd2 Pd 0.7201 0.7500 0.1700
Pd3 Pd 0.7799 0.7500 0.6700
Pd4 Pd 0.2799 0.2500 0.8300
Pd5 Pd 0.9912 0.2500 0.0749
Pd6 Pd 0.4912 0.7500 0.4251
Pd7 Pd 0.0088 0.7500 0.9251
Pd8 Pd 0.5088 0.2500 0.5749
```

12.
Computed, not measured: a geometry-optimized DyInPd structure at the PBE level of DFT.

Geometry as CIF:
```
data_DyInPd
_chemical_formula_sum 'Dy2 In2 Pd2'
_space_group_name_H-M_alt 'P 1'
_space_group_IT_number 1
_cell_length_a 4.6356
_cell_length_b 5.3646
_cell_length_c 5.9143
_cell_angle_alpha 90.00
_cell_angle_beta 90.00
_cell_angle_gamma 115.60
loop_
_space_group_symop_operation_xyz
'x,y,z'
loop_
_atom_site_label
_atom_site_type_symbol
_atom_site_fract_x
_atom_site_fract_y
_atom_site_fract_z
Dy1 Dy 0.6939 0.3878 0.2500
Dy2 Dy 0.3061 0.6122 0.7500
In1 In 0.0000 0.0000 0.0000
In2 In 0.0000 0.0000 0.5000
Pd1 Pd 0.3875 0.7750 0.2500
Pd2 Pd 0.6125 0.2250 0.7500
```

no.,energy relative to the elements (eV/atom)
1,-0.6588
2,-0.7198
3,-0.4354
4,-0.4322
5,-0.5819
6,-0.6270
7,-0.6050
8,-0.7205
9,-0.6993
10,-0.7922
11,-0.6156
12,-0.7361